1.
# Zn3Ga2Cu7

A geometry-optimized Zn3Ga2Cu7 structure (PBE-GGA, the Alexandria database).

Density = 7.5 Mg/m³
Size of the total moment = 0.00 μB per formula unit
ΔH_f (0 K) = 0.015 eV/atom

Cell lengths 4.2362, 4.2660, 9.7697 Å; angles 101.21, 90.00, 90.01 degrees
Last column: nearest neighbours and their distance in Å.
Sites, in units of the cell vectors:
Ga (0.5000, 0.3454, 0.6951)  7 Cu 2.45-2.63
Cu (0.0000, 0.4387, 0.8555)  4 Zn 2.53-2.56, 3 Cu 2.53-2.77, 2 Ga 2.62
Cu (0.5000, 0.2184, 0.4346)  3 Ga 2.45-2.50, 2 Cu 2.46-2.49, 2 Zn 2.52
Cu (0.5000, 0.0772, 0.1487)  4 Zn 2.53-2.60, 3 Cu 2.55-2.74, 2 Ga 2.58-2.63
Cu (0.5000, 0.9228, 0.8513)  4 Zn 2.53-2.60, 3 Cu 2.55-2.74, 2 Ga 2.58-2.63
Zn (0.0000, 0.1255, 0.2920)  7 Cu 2.52-2.80
Zn (0.5000, 0.5000, 0.0000)  8 Cu 2.53-2.60
Cu (0.0000, 0.0000, 0.0000)  8 Cu 2.53-2.55, 2 Zn 2.80
Ga (0.5000, 0.6546, 0.3049)  7 Cu 2.45-2.63
Cu (0.5000, 0.7816, 0.5654)  3 Ga 2.45-2.50, 2 Cu 2.46-2.49, 2 Zn 2.52
Cu (0.0000, 0.5613, 0.1445)  4 Zn 2.53-2.56, 3 Cu 2.53-2.77, 2 Ga 2.62
Zn (0.0000, 0.8745, 0.7080)  7 Cu 2.52-2.80

2.
# ZnGa3Cu

A geometry-optimized ZnGa3Cu structure (PBE-GGA, the Alexandria database).

Density = 6.8 Mg/m³
Size of the total moment = 0.00 μB per formula unit
ΔH_f (0 K) = 0.010 eV/atom

Cell lengths 4.3906, 6.3380, 8.8707 Å; angles 135.07, 84.46, 106.44 degrees
Last column: nearest neighbours and their distance in Å.
Sites, in units of the cell vectors:
Zn (0.2425, 0.8339, 0.3563)  1 Zn 2.62, 1 Cu 2.68, 5 Ga 2.69-2.88
Ga (0.7864, 0.8828, 0.2009)  2 Cu 2.64-2.85, 4 Ga 2.65-2.85, 3 Zn 2.69-2.95
Zn (0.7575, 0.1661, 0.6437)  1 Zn 2.62, 1 Cu 2.68, 5 Ga 2.69-2.88
Cu (0.8111, 0.7343, 0.8131)  8 Ga 2.61-2.85, 1 Cu 2.68, 1 Zn 2.68
Ga (0.2286, 0.4365, 0.5545)  4 Ga 2.61-2.83, 3 Cu 2.62-2.76, 2 Zn 2.73-2.88
Ga (0.2736, 0.7115, 0.9621)  3 Cu 2.61-2.67, 4 Ga 2.65-2.85, 1 Zn 2.84
Ga (0.7714, 0.5635, 0.4455)  4 Ga 2.61-2.83, 3 Cu 2.62-2.76, 2 Zn 2.73-2.88
Cu (0.1889, 0.2657, 0.1869)  8 Ga 2.61-2.85, 1 Cu 2.68, 1 Zn 2.68
Ga (0.7264, 0.2885, 0.0379)  3 Cu 2.61-2.67, 4 Ga 2.65-2.85, 1 Zn 2.84
Ga (0.2136, 0.1172, 0.7991)  2 Cu 2.64-2.85, 4 Ga 2.65-2.85, 3 Zn 2.69-2.95

3.
# ZnGa2Cu

A geometry-optimized ZnGa2Cu structure (PBE-GGA, the Alexandria database).

Density = 6.1 Mg/m³
Size of the total moment = 0.00 μB per formula unit
ΔH_f (0 K) = 0.143 eV/atom

Cell lengths 7.7531, 7.7531, 5.9943 Å; angles 49.71, 49.71, 90.00 degrees
Last column: nearest neighbours and their distance in Å.
Sites, in units of the cell vectors:
Ga (0.1934, 0.6250, 0.2500)  2 Cu 2.47, 2 Ga 2.65
Zn (0.0000, 0.0000, 0.0000)  2 Cu 2.42
Cu (0.2500, 0.7500, 0.5000)  2 Zn 2.42, 4 Ga 2.47
Ga (0.3750, 0.4434, 0.7500)  2 Cu 2.47, 2 Ga 2.65
Ga (0.8750, 0.8066, 0.7500)  2 Cu 2.47, 2 Ga 2.65
Ga (0.5566, 0.1250, 0.2500)  2 Cu 2.47, 2 Ga 2.65
Cu (0.5000, 0.5000, 0.0000)  2 Zn 2.42, 4 Ga 2.47
Zn (0.7500, 0.2500, 0.5000)  2 Cu 2.42

4.
# Zn8GaCu6

A geometry-optimized Zn8GaCu6 structure (PBE-GGA, the Alexandria database).

Density = 7.3 Mg/m³
Size of the total moment = 0.00 μB per formula unit
ΔH_f (0 K) = -0.045 eV/atom

Cell lengths 7.1373, 7.1373, 6.5203 Å; angles 56.82, 56.82, 60.00 degrees
Last column: nearest neighbours and their distance in Å.
Sites, in units of the cell vectors:
Zn (0.8790, 0.5393, 0.3664)  5 Cu 2.51-2.67, 3 Zn 2.73-2.75
Cu (0.7130, 0.3784, 0.8631)  1 Ga 2.47, 7 Zn 2.48-2.67, 3 Cu 2.75-2.76
Cu (0.9546, 0.2870, 0.1369)  1 Ga 2.47, 7 Zn 2.48-2.67, 3 Cu 2.75-2.76
Cu (0.2870, 0.6216, 0.1369)  1 Ga 2.47, 7 Zn 2.48-2.67, 3 Cu 2.75-2.76
Cu (0.6216, 0.9546, 0.1369)  1 Ga 2.47, 7 Zn 2.48-2.67, 3 Cu 2.75-2.76
Zn (0.6659, 0.6659, 0.0022)  6 Cu 2.48
Zn (0.4607, 0.7847, 0.6336)  5 Cu 2.51-2.67, 3 Zn 2.73-2.75
Zn (0.2153, 0.8790, 0.3664)  5 Cu 2.51-2.67, 3 Zn 2.73-2.75
Zn (0.7847, 0.1210, 0.6336)  5 Cu 2.51-2.67, 3 Zn 2.73-2.75
Cu (0.0454, 0.7130, 0.8631)  1 Ga 2.47, 7 Zn 2.48-2.67, 3 Cu 2.75-2.76
Zn (0.3341, 0.3341, 0.9978)  6 Cu 2.48
Zn (0.1210, 0.4607, 0.6336)  5 Cu 2.51-2.67, 3 Zn 2.73-2.75
Zn (0.5393, 0.2153, 0.3664)  5 Cu 2.51-2.67, 3 Zn 2.73-2.75
Ga (0.0000, 0.0000, 0.0000)  6 Cu 2.47
Cu (0.3784, 0.0454, 0.8631)  1 Ga 2.47, 7 Zn 2.48-2.67, 3 Cu 2.75-2.76

5.
# Zn2GaCu3

A geometry-optimized Zn2GaCu3 structure (PBE-GGA, the Alexandria database).

Density = 7.7 Mg/m³
Size of the total moment = 0.00 μB per formula unit
ΔH_f (0 K) = 0.005 eV/atom

Cell lengths 4.9650, 5.8157, 5.8157 Å; angles 89.75, 90.00, 90.00 degrees
Last column: nearest neighbours and their distance in Å.
Sites, in units of the cell vectors:
Zn (0.7196, 0.1118, 0.4429)  6 Cu 2.60-2.62, 3 Zn 2.72-2.88, 3 Ga 2.74-2.86
Cu (0.9703, 0.8345, 0.1654)  4 Cu 2.48-2.75, 4 Zn 2.60-2.62, 2 Ga 2.61
Cu (0.9703, 0.1654, 0.8345)  4 Cu 2.48-2.75, 4 Zn 2.60-2.62, 2 Ga 2.61
Cu (0.4703, 0.8346, 0.1655)  4 Cu 2.48-2.75, 4 Zn 2.60-2.62, 2 Ga 2.61
Cu (0.4686, 0.4999, 0.4999)  4 Cu 2.48-2.75, 2 Ga 2.59, 4 Zn 2.60
Ga (0.7195, 0.7755, 0.7755)  6 Cu 2.59-2.61, 6 Zn 2.74-2.86
Cu (0.4703, 0.1655, 0.8346)  4 Cu 2.48-2.75, 4 Zn 2.60-2.62, 2 Ga 2.61
Zn (0.7196, 0.4429, 0.1118)  6 Cu 2.60-2.62, 3 Zn 2.72-2.88, 3 Ga 2.74-2.86
Ga (0.2195, 0.2245, 0.2245)  6 Cu 2.59-2.61, 6 Zn 2.74-2.86
Zn (0.2196, 0.8882, 0.5571)  6 Cu 2.60-2.62, 3 Zn 2.72-2.88, 3 Ga 2.74-2.86
Cu (0.9686, 0.5001, 0.5001)  4 Cu 2.48-2.75, 2 Ga 2.59, 4 Zn 2.60
Zn (0.2196, 0.5571, 0.8882)  6 Cu 2.60-2.62, 3 Zn 2.72-2.88, 3 Ga 2.74-2.86

6.
# ZnGaCu

A geometry-optimized ZnGaCu structure (PBE-GGA, the Alexandria database).

Density = 7.5 Mg/m³
Size of the total moment = 0.00 μB per formula unit
ΔH_f (0 K) = -0.018 eV/atom

Cell lengths 3.3440, 3.3440, 4.5815 Å; angles 111.40, 111.40, 90.00 degrees
Last column: nearest neighbours and their distance in Å.
Sites, in units of the cell vectors:
Zn (0.9476, 0.9476, 0.8953)  5 Ga 2.58-2.72, 5 Cu 2.64-2.69
Ga (0.6189, 0.6189, 0.2378)  5 Zn 2.58-2.72, 5 Cu 2.63-2.69
Cu (0.2834, 0.2834, 0.5669)  5 Ga 2.63-2.69, 5 Zn 2.64-2.69